No. 1
Computed, not measured: a geometry-optimized Tm2ScZn2 structure at the PBE-GGA level of DFT.

E (eV per atom): -3.749
Formation energy (eV/atom): -0.185
Density of states at the Fermi level (states/eV/f.u.): 6.41

Lattice parameters (Å, degrees): 3.803 6.518 9.380 90.00 90.00 90.00
Space group Immm (No. 71)
One atom of each set of equivalent atoms:
Tm1 0.000 0.000 0.212 [4 per cell]
Sc1 0.000 0.500 0.000 [2 per cell]
Zn1 0.000 0.303 0.500 [4 per cell]


No. 2
Computed, not measured: a geometry-optimized TmScZn2 structure at the PBE-GGA level of DFT.

E (eV per atom): -3.690
Formation energy (eV/atom): -0.353
Density of states at the Fermi level (states/eV/f.u.): 3.58

Lattice parameters (Å, degrees): 6.873 6.873 6.873 90.00 90.00 90.00
Space group Fm-3m (No. 225)
One atom of each set of equivalent atoms:
Tm1 0.000 0.000 0.000 [4 per cell]
Sc1 0.000 0.000 0.500 [4 per cell]
Zn1 0.250 0.250 0.250 [8 per cell]


No. 3
Computed, not measured: a geometry-optimized TmSc2Zn structure at the PBE-GGA level of DFT.

E (eV per atom): -4.750
Formation energy (eV/atom): -0.148
Density of states at the Fermi level (states/eV/f.u.): 5.28

Lattice parameters (Å, degrees): 3.352 3.352 8.250 90.00 90.00 90.00
Space group P4/mmm (No. 123)
One atom of each set of equivalent atoms:
Tm1 0.000 0.000 0.000 [1 per cell]
Sc1 0.500 0.500 0.296 [2 per cell]
Zn1 0.000 0.000 0.500 [1 per cell]


No. 4
Computed, not measured: a geometry-optimized TmSc2Zn structure at the PBE-GGA level of DFT.

E (eV per atom): -4.654
Formation energy (eV/atom): -0.052
Density of states at the Fermi level (states/eV/f.u.): 4.93

Lattice parameters (Å, degrees): 3.3829 3.3829 29.1179 90.00 90.00 120.00
Space group R3m (No. 160, hexagonal axes)
One atom of each set of equivalent atoms:
Tm1 0.0000 0.0000 0.0000 [3 per cell]
Sc1 0.0000 0.0000 0.2398 [3 per cell]
Sc2 0.0000 0.0000 0.4279 [3 per cell]
Zn1 0.0000 0.0000 0.8343 [3 per cell]


No. 5
Computed, not measured: a geometry-optimized Tm3ScZn2 structure at the PBE-GGA level of DFT.

E (eV per atom): -3.932
Formation energy (eV/atom): -0.216
Density of states at the Fermi level (states/eV/f.u.): 6.56

Lattice parameters (Å, degrees): 3.490 3.490 11.713 90.00 90.00 90.00
Space group P4/mmm (No. 123)
One atom of each set of equivalent atoms:
Tm1 0.000 0.000 0.000 [1 per cell]
Tm2 0.000 0.000 0.301 [2 per cell]
Sc1 0.500 0.500 0.500 [1 per cell]
Zn1 0.500 0.500 0.151 [2 per cell]


No. 6
Computed, not measured: a geometry-optimized Tm2ScZn2 structure at the PBE-GGA level of DFT.

E (eV per atom): -3.823
Formation energy (eV/atom): -0.258
Density of states at the Fermi level (states/eV/f.u.): 4.12

Lattice parameters (Å, degrees): 3.501 4.946 12.920 90.00 97.82 90.00
Space group P2_1/m (No. 11)
One atom of each set of equivalent atoms:
Tm1 0.046 0.250 0.091 [2 per cell]
Tm2 0.232 0.250 0.466 [2 per cell]
Sc1 0.146 0.750 0.291 [2 per cell]
Zn1 0.360 0.750 0.720 [2 per cell]
Zn2 0.447 0.250 0.892 [2 per cell]


Which total magnetic moment belongs to each record? In order, 0.0001, 0.0001, 0.0000, 0.2029, 0.0000, 0.0000 μB per atom.